No. 1
Computed, not measured: CaYMgF2 after structural relaxation at the PBE level of DFT.

Output
ρ = 2.3 g/cm³
Total energy = -4.66 eV per atom

abc: 4.434 4.434 6.932
angles: 90.00 90.00 90.00
Space group P4/mmm (No. 123)
Unique sites:
Ca (0.000, 0.000, 0.000) (multiplicity 1)
Y (0.500, 0.500, 0.500) (multiplicity 1)
Mg (0.500, 0.500, 0.000) (multiplicity 1)
F (0.000, 0.500, 0.500) (multiplicity 2)

No. 2
Computed, not measured: CaMgZrF2 after structural relaxation at the PBE level of DFT.

Output
ρ = 2.7 g/cm³
Total energy = -4.61 eV per atom

abc: 4.361 4.361 6.241
angles: 90.00 90.00 90.00
Space group P4/mmm (No. 123)
Unique sites:
Ca (0.000, 0.000, 0.000) (multiplicity 1)
Mg (0.500, 0.500, 0.000) (multiplicity 1)
Zr (0.500, 0.500, 0.500) (multiplicity 1)
F (0.000, 0.500, 0.500) (multiplicity 2)

What did the second record say?
Computed, not measured: CaMgZrF2 after structural relaxation at the PBE level of DFT.

Output
ρ = 2.7 g/cm³
Total energy = -4.61 eV per atom

abc: 4.361 4.361 6.241
angles: 90.00 90.00 90.00
Space group P4/mmm (No. 123)
Unique sites:
Ca (0.000, 0.000, 0.000) (multiplicity 1)
Mg (0.500, 0.500, 0.000) (multiplicity 1)
Zr (0.500, 0.500, 0.500) (multiplicity 1)
F (0.000, 0.500, 0.500) (multiplicity 2)

Question: The highest ρ belongs to which entry?
Answer: CaMgZrF2

Question: Which of these has the highest total energy?
Answer: CaMgZrF2